Below is crystalline Cd4In5Bi2 at its relaxed geometry, with properties calculated at the PBE-GGA level.

Crystal system: monoclinic
E_form (kcal/mol of atoms): 0.94
Space group: No. 12

a b c (Å): 10.9116 10.9116 8.0889
angles (deg): 110.58 110.58 19.16
Element x y z (fractional)
Cd1 0.0524 0.0524 0.3610
Cd2 0.3149 0.3149 0.5425
Cd3 0.6851 0.6851 0.4575
Cd4 0.9476 0.9476 0.6390
In1 0.1376 0.1376 0.1026
In2 0.2269 0.2269 0.8157
In3 0.5000 0.5000 0.0000
In4 0.7731 0.7731 0.1843
In5 0.8624 0.8624 0.8974
Bi1 0.4115 0.4115 0.2765
Bi2 0.5885 0.5885 0.7235

---

Below is crystalline AsRu2O at its relaxed geometry, with properties calculated at the PBE-GGA level.

Crystal system: cubic
ΔE to the lowest computed polymorph (eV/atom): 0.1794
Space group: No. 225
Uncorrected formation energy (eV per atom): 0.126

a b c (Å): 5.8510 5.8510 5.8510
angles (deg): 90.00 90.00 90.00
Element x y z (fractional)
As1 0.0000 0.0000 0.0000
As2 0.0000 0.5000 0.5000
As3 0.5000 0.0000 0.5000
As4 0.5000 0.5000 0.0000
Ru1 0.2500 0.2500 0.2500
Ru2 0.2500 0.2500 0.7500
Ru3 0.2500 0.7500 0.2500
Ru4 0.2500 0.7500 0.7500
Ru5 0.7500 0.2500 0.2500
Ru6 0.7500 0.2500 0.7500
Ru7 0.7500 0.7500 0.2500
Ru8 0.7500 0.7500 0.7500
O1 0.0000 0.0000 0.5000
O2 0.0000 0.5000 0.0000
O3 0.5000 0.0000 0.0000
O4 0.5000 0.5000 0.5000

---

Below is crystalline Mg5SnHg6 at its relaxed geometry, with properties calculated at the PBE-GGA level.

Crystal system: monoclinic
E_form (kcal/mol of atoms): -3.62
Space group: No. 10

a b c (Å): 4.9628 7.2354 7.7230
angles (deg): 90.00 104.96 90.00
Element x y z (fractional)
Mg1 0.0000 0.0000 0.0000
Mg2 0.3266 0.0000 0.6697
Mg3 0.3287 0.5000 0.6729
Mg4 0.6713 0.5000 0.3271
Mg5 0.6734 0.0000 0.3303
Sn1 0.0000 0.5000 0.0000
Hg1 0.1815 0.2443 0.3471
Hg2 0.1815 0.7557 0.3471
Hg3 0.5000 0.2331 0.0000
Hg4 0.5000 0.7669 0.0000
Hg5 0.8185 0.2443 0.6529
Hg6 0.8185 0.7557 0.6529

---

Below is crystalline CePd6Au3 at its relaxed geometry, with properties calculated at the PBE-GGA level.

Crystal system: monoclinic
E_form (kcal/mol of atoms): -7.60
Space group: No. 11

a b c (Å): 8.7768 4.2796 9.2945
angles (deg): 90.00 94.82 90.00
Element x y z (fractional)
Ce1 0.0695 0.2500 0.3670
Ce2 0.9305 0.7500 0.6330
Pd1 0.0502 0.7500 0.9073
Pd2 0.1469 0.2500 0.6995
Pd3 0.1612 0.7500 0.2022
Pd4 0.2492 0.7500 0.5085
Pd5 0.3618 0.2500 0.3015
Pd6 0.4542 0.7500 0.1002
Pd7 0.5458 0.2500 0.8998
Pd8 0.6382 0.7500 0.6985
Pd9 0.7508 0.2500 0.4915
Pd10 0.8388 0.2500 0.7978
Pd11 0.8531 0.7500 0.3005
Pd12 0.9498 0.2500 0.0927
Au1 0.2518 0.2500 0.0067
Au2 0.3444 0.7500 0.8080
Au3 0.4485 0.2500 0.6025
Au4 0.5515 0.7500 0.3975
Au5 0.6556 0.2500 0.1920
Au6 0.7482 0.7500 0.9933

---

Below is crystalline Sb3PbAu at its relaxed geometry, with properties calculated at the PBE-GGA level.

Crystal system: cubic
ΔE to the lowest computed polymorph (eV/atom): 0.0000
Space group: No. 221
Uncorrected formation energy (eV per atom): 0.440

a b c (Å): 5.4385 5.4385 5.4385
angles (deg): 90.00 90.00 90.00
Element x y z (fractional)
Sb1 0.0000 0.0000 0.5000
Sb2 0.0000 0.5000 0.0000
Sb3 0.5000 0.0000 0.0000
Pb1 0.5000 0.5000 0.5000
Au1 0.0000 0.0000 0.0000

---

Below is crystalline TcIrRh6 at its relaxed geometry, with properties calculated at the PBE-GGA level.

Crystal system: tetragonal
ΔE to the lowest computed polymorph (eV/atom): 0.0000
E_form (kcal/mol of atoms): -0.46
Space group: No. 123

a b c (Å): 3.8453 3.8453 7.6994
angles (deg): 90.00 90.00 90.00
Element x y z (fractional)
Tc1 0.0000 0.0000 0.0000
Ir1 0.0000 0.0000 0.5000
Rh1 0.0000 0.5000 0.2468
Rh2 0.0000 0.5000 0.7532
Rh3 0.5000 0.0000 0.2468
Rh4 0.5000 0.0000 0.7532
Rh5 0.5000 0.5000 0.0000
Rh6 0.5000 0.5000 0.5000

---

Below is crystalline ZrFeIr at its relaxed geometry, with properties calculated at the PBE-GGA level.

Crystal system: tetragonal
E_form (kcal/mol of atoms): -6.69
Space group: No. 107

a b c (Å): 3.2684 3.2684 9.1864
angles (deg): 90.00 90.00 90.00
Element x y z (fractional)
Zr1 0.0000 0.0000 0.0000
Zr2 0.5000 0.5000 0.5000
Fe1 0.0000 0.0000 0.3242
Fe2 0.5000 0.5000 0.8242
Ir1 0.0000 0.0000 0.6719
Ir2 0.5000 0.5000 0.1719

---

Below is crystalline Sc2GaCuSi at its relaxed geometry, with properties calculated at the PBE-GGA level.

Crystal system: tetragonal
Space group: No. 123
Uncorrected formation energy (eV per atom): -0.017

a b c (Å): 5.0231 5.0231 4.3258
angles (deg): 90.00 90.00 90.00
Element x y z (fractional)
Sc1 0.0000 0.5000 0.0000
Sc2 0.5000 0.0000 0.0000
Ga1 0.0000 0.0000 0.5000
Cu1 0.5000 0.5000 0.5000
Si1 0.5000 0.5000 0.0000

---

no.,V (Å³ per atom),DFT total energy (eV for the cell shown),total magnetic moment (μB per cell)
1,26.8,-24.67,0.00
2,12.5,-110.62,0.00
3,22.3,-15.67,0.00
4,17.4,-100.44,0.00
5,32.2,-17.15,0.00
6,14.2,-63.50,0.00
7,16.4,-53.48,6.03
8,21.8,-25.29,0.00